1.
{
  "formula": "ZrGe3Rh",
  "functional": "PBE",
  "state": "relaxed",
  "lattice": [[-0.788, 4.567, 2.070], [-1.648, -2.214, 4.259], [4.735, -0.011, 1.827]],
  "species": ["Ge", "Ge", "Ge", "Rh", "Zr"],
  "frac_coords": [[0.500, 0.000, 0.000], [0.000, 0.500, 0.000], [0.000, 0.000, 0.500], [0.500, 0.500, 0.500], [0.000, 0.000, 0.000]],
  "delta_e_f_kj_per_mol_atoms": 96.4,
  "sg": "No. 221",
  "volume_a3_per_atom": 26.14,
  "crystal_system": "cubic"
}

---

2.
{
  "formula": "LaSbBr2",
  "functional": "PBE",
  "state": "relaxed",
  "lattice": [[4.144, 0.000, 0.000], [0.000, 5.583, 0.000], [0.000, 0.000, 4.899]],
  "species": ["Br", "Br", "Sb", "La"],
  "frac_coords": [[0.500, 0.500, 0.000], [0.000, 0.000, 0.000], [0.000, 0.500, 0.500], [0.500, 0.000, 0.500]],
  "sg": "No. 47",
  "volume_a3_per_atom": 28.33,
  "raw_formation_energy_ev_per_atom": -0.969,
  "crystal_system": "orthorhombic"
}

---

3.
{
  "formula": "Li2CeZn2Si2",
  "functional": "PBE",
  "state": "relaxed",
  "lattice": [[4.175, 0.000, 0.000], [2.088, 3.616, 0.000], [2.088, 1.205, 7.865]],
  "species": ["Zn", "Zn", "Li", "Li", "Ce", "Si", "Si"],
  "frac_coords": [[0.564, 0.564, 0.308], [0.436, 0.436, 0.692], [0.144, 0.144, 0.569], [0.856, 0.856, 0.431], [0.000, 0.000, 0.000], [0.257, 0.257, 0.230], [0.743, 0.743, 0.770]],
  "sg": "No. 166",
  "volume_a3_per_atom": 16.96,
  "raw_formation_energy_ev_per_atom": -0.429,
  "crystal_system": "trigonal"
}

---

4.
{
  "formula": "TbTiP",
  "functional": "PBE",
  "state": "relaxed",
  "lattice": [[-0.284, -1.386, 3.636], [0.676, -3.607, -1.322], [7.360, 1.024, 0.965]],
  "species": ["Ti", "Ti", "P", "P", "Tb", "Tb"],
  "frac_coords": [[0.000, 0.000, 0.500], [0.500, 0.500, 0.500], [0.500, 0.000, 0.735], [0.000, 0.500, 0.265], [0.500, 0.000, 0.148], [0.000, 0.500, 0.852]],
  "delta_e_f_kj_per_mol_atoms": -105.8,
  "sg": "No. 129",
  "volume_a3_per_atom": 19.01,
  "crystal_system": "tetragonal"
}

---

Which formula does entry 2 have? LaSbBr2